The following is a DFT calculation (PBE) of NdGdGa2Pd4 after structural relaxation.

Computed properties:
VASP energy: -5.38 eV per atom
Calculated density: 9.1 g/cm3
Spin magnetization: 0.0 μB/f.u.

CIF file:
```
data_NdGdGa2Pd4
_cell_length_a 4.4386
_cell_length_b 4.4386
_cell_length_c 9.2434
_cell_angle_alpha 90.00
_cell_angle_beta 90.00
_cell_angle_gamma 120.00
_symmetry_space_group_name_H-M 'P -6 m 2'
_symmetry_Int_Tables_number 187
_symmetry_space_group_name_Hall 'P -6 2'
loop_
_atom_site_label
_atom_site_fract_x
_atom_site_fract_y
_atom_site_fract_z
Nd1 0.0000 0.0000 0.0000
Gd1 0.6667 0.3333 0.5000
Ga1 0.3333 0.6667 0.2541
Pd1 0.0000 0.0000 0.3325
Pd2 0.6667 0.3333 0.1771
```